A plane-wave DFT calculation with GGA+U was carried out for a geometry-optimized MnNbIO2 structure.

Output
The value obtained for the magnetization is 1.43 μB per formula unit. The density of states at the Fermi level is 0.3649 states/eV per atom. The energy above the lowest structure with this stoichiometry is 1635.5 meV/atom. The calculation puts the total energy at -5.104 eV per atom.

Cell and atoms, written as CIF:
```
data_MnNbIO2
_space_group_name_H-M_alt 'P 1'
_space_group_IT_number 1
_space_group_name_Hall 'P 1'
_cell_length_a 4.0795
_cell_length_b 4.0795
_cell_length_c 5.7173
_cell_angle_alpha 90.00
_cell_angle_beta 90.00
_cell_angle_gamma 90.00
loop_
_atom_site_label
_atom_site_fract_x
_atom_site_fract_y
_atom_site_fract_z
Mn1 0.0000 0.0000 0.0000
Nb1 0.5000 0.5000 0.0000
I1 0.5000 0.5000 0.5000
O1 0.0000 0.5000 0.5000
O2 0.5000 0.0000 0.5000
```